# MnBiF6

A relaxed MnBiF6 crystal (GGA+U, Alexandria).

The energy comes out at -5.24 eV/atom. As for the total magnetization: 16.0 μB per cell.

It has space group C2/c (No. 15), with a = 5.4538 Å, b = 9.1773 Å, c = 10.0745 Å, α = 90.00°, β = 92.18° and γ = 90.00°. Symmetry generates all atoms from Mn at (0.0000, 0.1670, 0.2500), Bi at (0.0000, 0.5000, 0.0000), F at (0.1349, 0.3152, 0.3641), F at (0.1520, 0.0229, 0.3634) and F at (0.1957, 0.3434, 0.8704).